Model i:
Crystalline V2CrRu2 at its relaxed geometry, computed with PBE.

Geometry as POSCAR:
```
V2CrRu2
1.0
7.023 0.000 0.000
0.000 7.023 0.000
0.000 0.000 2.830
V Cr Ru
4 2 4
direct
0.151 0.349 0.000
0.349 0.849 0.000
0.651 0.151 0.000
0.849 0.651 0.000
0.000 0.000 0.000
0.500 0.500 0.000
0.152 0.652 0.500
0.348 0.152 0.500
0.652 0.848 0.500
0.848 0.348 0.500
```

Values from the calculation:
space-group type: P4/mbm (127)
crystal system: tetragonal
total magnetization: 0.00 μB/atom

---

Model ii:
Crystalline V2CrRu2 at its relaxed geometry, computed with PBE.

Geometry as POSCAR:
```
V2CrRu2
1.0
1.458 -8.027 0.000
1.458 8.027 0.000
0.000 0.000 2.921
V Cr Ru
2 1 2
direct
0.091 0.909 0.000
0.909 0.091 0.000
0.500 0.500 0.500
0.318 0.682 0.500
0.682 0.318 0.500
```

Values from the calculation:
space-group type: Cmmm (65)
crystal system: orthorhombic
total magnetization: 0.00 μB/atom

---

Result of the stability comparison: model i is the least stable of them.

---

Model i:
Crystalline VCr2Ru2 at its relaxed geometry, computed with PBE.

Geometry as POSCAR:
```
VCr2Ru2
1.0
6.982 0.000 0.000
0.000 6.982 0.000
0.000 0.000 2.771
V Cr Ru
2 4 4
direct
0.000 0.000 0.000
0.500 0.500 0.000
0.143 0.357 0.000
0.357 0.857 0.000
0.643 0.143 0.000
0.857 0.643 0.000
0.158 0.658 0.500
0.342 0.158 0.500
0.658 0.842 0.500
0.842 0.342 0.500
```

Values from the calculation:
space-group type: P4/mbm (127)
crystal system: tetragonal
total magnetization: 0.06 μB/atom

---

Model ii:
Crystalline VCr2Ru2 at its relaxed geometry, computed with PBE.

Geometry as POSCAR:
```
VCr2Ru2
1.0
7.089 0.000 0.000
0.000 7.089 0.000
0.000 0.000 2.715
V Cr Ru
2 4 4
direct
0.000 0.000 0.000
0.500 0.500 0.000
0.165 0.335 0.500
0.335 0.835 0.500
0.665 0.165 0.500
0.835 0.665 0.500
0.136 0.636 0.000
0.364 0.136 0.000
0.636 0.864 0.000
0.864 0.364 0.000
```

Values from the calculation:
space-group type: P4/mbm (127)
crystal system: tetragonal
total magnetization: 0.00 μB/atom

---

Result of the stability comparison: model ii is the least stable of them.

---

Model i:
Crystalline CrRuW2 at its relaxed geometry, computed with PBE.

Geometry as POSCAR:
```
CrRuW2
1.0
0.000 3.080 3.080
3.080 0.000 3.080
3.080 3.080 0.000
Cr Ru W
1 1 2
direct
0.000 0.000 0.000
0.500 0.500 0.500
0.250 0.250 0.250
0.750 0.750 0.750
```

Values from the calculation:
space-group type: Fm-3m (225)
crystal system: cubic
total magnetization: 0.00 μB/atom

---

Model ii:
Crystalline CrRuW2 at its relaxed geometry, computed with PBE.

Geometry as POSCAR:
```
CrRuW2
1.0
2.717 0.000 0.000
0.000 3.874 0.000
0.000 0.000 5.611
Cr Ru W
1 1 2
direct
0.000 0.000 0.000
0.500 0.500 0.232
0.000 0.000 0.480
0.500 0.500 0.758
```

Values from the calculation:
space-group type: Pmm2 (25)
crystal system: orthorhombic
total magnetization: 0.00 μB/atom

---

Result of the stability comparison: model ii is the least stable of them.

---

Model i:
Crystalline CrRuW2 at its relaxed geometry, computed with PBE.

Geometry as POSCAR:
```
CrRuW2
1.0
-1.532 2.196 4.354
1.532 -2.196 4.354
1.532 2.196 -4.354
Cr Ru W
1 1 2
direct
0.000 0.000 0.000
0.259 0.759 0.500
0.519 0.519 0.000
0.771 0.271 0.500
```

Values from the calculation:
space-group type: Imm2 (44)
crystal system: orthorhombic
total magnetization: 0.00 μB/atom

---

Model ii:
Crystalline CrRuW2 at its relaxed geometry, computed with PBE.

Geometry as POSCAR:
```
CrRuW2
1.0
1.389 0.802 8.985
-1.389 0.802 8.985
0.000 -1.604 8.985
Cr Ru W
1 1 2
direct
0.000 0.000 0.000
0.500 0.500 0.500
0.250 0.250 0.250
0.750 0.750 0.750
```

Values from the calculation:
space-group type: R-3m (166)
crystal system: trigonal
total magnetization: 0.58 μB/atom

---

Model iii:
Crystalline CrRuW2 at its relaxed geometry, computed with PBE.

Geometry as POSCAR:
```
CrRuW2
1.0
0.000 3.098 3.098
3.098 0.000 3.098
3.098 3.098 0.000
Cr Ru W
1 1 2
direct
0.000 0.000 0.000
0.750 0.750 0.750
0.250 0.250 0.250
0.500 0.500 0.500
```

Values from the calculation:
space-group type: F-43m (216)
crystal system: cubic
total magnetization: 0.46 μB/atom

---

Result of the stability comparison: model ii is the least stable of them.

---

Model i:
Crystalline CrRuW2 at its relaxed geometry, computed with PBE.

Geometry as POSCAR:
```
CrRuW2
1.0
1.544 -2.230 0.000
1.544 2.230 0.000
0.000 0.000 8.523
Cr Ru W
1 1 2
direct
0.000 0.000 0.000
0.000 0.000 0.500
0.500 0.500 0.242
0.500 0.500 0.758
```

Values from the calculation:
space-group type: Cmmm (65)
crystal system: orthorhombic
total magnetization: 0.00 μB/atom

---

Model ii:
Crystalline CrRuW2 at its relaxed geometry, computed with PBE.

Geometry as POSCAR:
```
CrRuW2
1.0
2.714 0.000 0.000
0.000 4.332 0.000
-0.977 0.000 4.996
Cr Ru W
1 1 2
direct
0.000 0.000 0.000
0.716 0.500 0.264
0.215 0.500 0.776
0.449 0.000 0.504
```

Values from the calculation:
space-group type: Pm (6)
crystal system: monoclinic
total magnetization: 0.00 μB/atom

---

Result of the stability comparison: model i is the least stable of them.

---

Model i:
Crystalline CrRuW2 at its relaxed geometry, computed with PBE.

Geometry as POSCAR:
```
CrRuW2
1.0
-1.911 1.911 4.038
1.911 -1.911 4.038
1.911 1.911 -4.038
Cr Ru W
1 1 2
direct
0.000 0.000 0.000
0.250 0.750 0.500
0.500 0.500 0.000
0.750 0.250 0.500
```

Values from the calculation:
space-group type: I-4m2 (119)
crystal system: tetragonal
total magnetization: 0.00 μB/atom

---

Model ii:
Crystalline CrRuW2 at its relaxed geometry, computed with PBE.

Geometry as POSCAR:
```
CrRuW2
1.0
3.116 0.000 0.000
0.000 4.320 0.000
0.000 0.000 4.405
Cr Ru W
1 1 2
direct
0.000 0.000 0.000
0.500 0.000 0.500
0.000 0.500 0.500
0.500 0.500 0.000
```

Values from the calculation:
space-group type: Pmmm (47)
crystal system: orthorhombic
total magnetization: 0.44 μB/atom

---

Result of the stability comparison: model i is the least stable of them.